Here is crystalline TlSiP2 at its relaxed geometry from the Alexandria database. Energies are from PBE-GGA.

a = 7.428 Å, b = 7.428 Å, c = 7.428 Å
α = 27.75°, β = 27.75°, γ = 27.75°
Positions (direct):
P  0.977  0.977  0.977
P  0.523  0.523  0.523
Tl  0.750  0.750  0.750
Si  0.250  0.250  0.250

Summary:
Its uncorrected formation energy is 0.134 eV per atom. The calculation puts the total energy at -18.1 eV/cell.